Record 1
This record from the Alexandria database describes TaOs5 after structural relaxation. The functional is PBE.

Properties
Its offset from the most stable computed form is 15 meV/atom. Its space group is P-62m, No. 189. The electronic total energy is -68.37 eV/cell. The density of states at the Fermi level is 1.011 states/eV per atom. The value obtained for the magnetic moment is 0.000 μB/atom.

a b c (Å): 4.824 4.824 4.434
angles (deg): 90.00 90.00 120.00
Positions (direct):
Os 0.679 0.346 0.000
Os 0.000 0.333 0.500
Os 0.987 0.000 0.000
Os 0.667 0.667 0.500
Os 0.333 0.654 0.000
Ta 0.333 0.000 0.500


Record 2
This record from the Alexandria database describes Er4PdPt3 after structural relaxation. The functional is PBE.

Properties
Its space group is Pmm2, No. 25. The electronic total energy is -51.35 eV/cell. The density of states at the Fermi level is 0.821 states/eV per atom. The value obtained for the magnetic moment is 0.000 μB/atom.

a b c (Å): 3.681 4.508 10.459
angles (deg): 90.00 90.00 90.00
Positions (direct):
Er 0.500 0.500 0.365
Er 0.000 0.000 0.137
Er 0.000 0.500 0.860
Pd 0.500 0.500 0.088
Pt 0.500 0.000 0.914
Er 0.500 0.000 0.638
Pt 0.000 0.000 0.409
Pt 0.000 0.500 0.588


Record 3
This record from the Alexandria database describes AuCl3 after structural relaxation. The functional is PBE.

Properties
Its space group is Pmmm, No. 47. The electronic total energy is -7.48 eV/cell. The density of states at the Fermi level is 0.544 states/eV per atom. The value obtained for the magnetic moment is 0.080 μB/atom. For the uncorrected formation energy, the calculation gives 0.33 eV/atom.

a b c (Å): 2.617 3.859 10.393
angles (deg): 90.00 90.00 90.00
Last column: magnetic moment on the atom in μB.
Positions (direct):
Cl 0.000 0.000 0.500  0.25
Au 0.000 0.000 0.000  0.00
Cl 0.500 0.500 0.825  0.00
Cl 0.500 0.500 0.175  0.00


Record 4
This record from the Alexandria database describes LiPm2MnSe4 after structural relaxation. The functional is PBE.

Properties
Its space group is P2/m, No. 10. The electronic total energy is -45.56 eV/cell. The density of states at the Fermi level is 0.240 states/eV per atom. The value obtained for the magnetic moment is 0.533 μB/atom. For the uncorrected formation energy, the calculation gives -1.38 eV/atom.

a b c (Å): 4.106 7.108 6.861
angles (deg): 110.13 90.00 90.00
Last column: magnetic moment on the atom in μB.
Positions (direct):
Pm 0.000 0.500 0.500  -0.04
Mn 0.000 0.000 0.000  4.12
Se 0.000 0.745 0.229  0.02
Se 0.500 0.240 0.225  0.03
Se 0.500 0.760 0.775  0.03
Pm 0.500 0.000 0.500  -0.06
Li 0.500 0.500 0.000  0.00
Se 0.000 0.255 0.771  0.02